Material: GdTiNiIr
Method: DFT, GGA-PBE
State: optimized geometry

Values from the calculation:
size of the total moment = 29.31 μB per cell
DFT formation energy = -0.410 eV per atom
volume = 278.21 Å³ per cell

```
data_GdTiNiIr
_cell_length_a 6.5281
_cell_length_b 6.5281
_cell_length_c 6.5281
_cell_angle_alpha 90.00
_cell_angle_beta 90.00
_cell_angle_gamma 90.00
_space_group_name_H-M_alt 'F -4 3 m'
_space_group_IT_number 216
_space_group_name_Hall 'F -4 2 3'
loop_
_atom_site_label
_atom_site_type_symbol
_atom_site_fract_x
_atom_site_fract_y
_atom_site_fract_z
Gd1 Gd 0.0000 0.0000 0.0000
Ti1 Ti 0.0000 0.0000 0.5000
Ni1 Ni 0.2500 0.2500 0.2500
Ir1 Ir 0.2500 0.2500 0.7500
```

Material: GdZrNiIr
Method: DFT, GGA-PBE
State: optimized geometry

Values from the calculation:
size of the total moment = 29.01 μB per cell
DFT formation energy = -0.520 eV per atom
volume = 301.95 Å³ per cell

```
data_GdZrNiIr
_cell_length_a 6.7088
_cell_length_b 6.7088
_cell_length_c 6.7088
_cell_angle_alpha 90.00
_cell_angle_beta 90.00
_cell_angle_gamma 90.00
_space_group_name_H-M_alt 'F -4 3 m'
_space_group_IT_number 216
_space_group_name_Hall 'F -4 2 3'
loop_
_atom_site_label
_atom_site_type_symbol
_atom_site_fract_x
_atom_site_fract_y
_atom_site_fract_z
Gd1 Gd 0.0000 0.0000 0.0000
Zr1 Zr 0.0000 0.0000 0.5000
Ni1 Ni 0.2500 0.2500 0.7500
Ir1 Ir 0.2500 0.2500 0.2500
```